# Li6Hg12Rh

A relaxed structure of Li6Hg12Rh (GGA-PBE, Alexandria).

```
data_Li6Hg12Rh
_cell_length_a 10.5274
_cell_length_b 10.5274
_cell_length_c 12.3542
_cell_angle_alpha 90.00
_cell_angle_beta 90.00
_cell_angle_gamma 120.00
_space_group_name_H-M_alt 'R -3'
_space_group_IT_number 148
_space_group_name_Hall '-R 3'
loop_
_atom_site_label
_atom_site_type_symbol
_atom_site_fract_x
_atom_site_fract_y
_atom_site_fract_z
Li1 Li 0.0358 0.6032 0.2119
Hg1 Hg 0.0283 0.8406 0.3304
Hg2 Hg 0.0408 0.2056 0.9047
Rh1 Rh 0.0000 0.0000 0.5000
```

Values from the calculation:
DFT total energy	-1.4028	eV/atom
energy relative to the elements	-4.197	eV/f.u.
calculated volume	1185.7	Å³/cell